Density functional theory data (GGA-PBE) for crystalline Li4AgW at its relaxed geometry.

Its total magnetization is 2.63 μB/cell. As for the density of states at the Fermi level: 2.2 states/eV per cell. As for the space-group type: F-43m. The calculation puts the formation energy at 0.59 eV per atom.

a = 5.0037 Å, b = 5.0037 Å, c = 5.0037 Å
α = 60.00°, β = 60.00°, γ = 60.00°
Fractional coordinates of all 6 atoms:
1 Li 0.1243 0.1243 0.1243
2 Li 0.1243 0.1243 0.6270
3 Li 0.1243 0.6270 0.1243
4 Li 0.6270 0.1243 0.1243
5 Ag 0.5000 0.5000 0.5000
6 W 0.7500 0.7500 0.7500


Density functional theory data (GGA-PBE) for crystalline NaAlSeN2 at its relaxed geometry.

Its total magnetization is 4.84 μB/cell. As for the density of states at the Fermi level: 2.8 states/eV per cell. As for the space-group type: P4/mmm. For the uncorrected formation energy, the calculation gives 8.96 eV/f.u.

a = 4.2975 Å, b = 4.2975 Å, c = 5.5872 Å
α = 90.00°, β = 90.00°, γ = 90.00°
Fractional coordinates of all 5 atoms:
1 Na 0.0000 0.0000 0.0000
2 Al 0.5000 0.5000 0.5000
3 Se 0.0000 0.0000 0.5000
4 N 0.0000 0.5000 0.0000
5 N 0.5000 0.0000 0.0000


Density functional theory data (GGA-PBE) for crystalline SrOsN at its relaxed geometry.

Its total magnetization is 0.00 μB/cell. As for the density of states at the Fermi level: 4.1 states/eV per cell. As for the space-group type: Cmcm. For the uncorrected formation energy, the calculation gives -0.21 eV/f.u.

a = 5.3818 Å, b = 5.3818 Å, c = 5.0125 Å
α = 90.00°, β = 90.00°, γ = 119.62°
Fractional coordinates of all 6 atoms:
1 Sr 0.1818 0.8182 0.7500
2 Sr 0.8182 0.1818 0.2500
3 Os 0.5000 0.5000 0.0000
4 Os 0.5000 0.5000 0.5000
5 N 0.3365 0.6635 0.2500
6 N 0.6635 0.3365 0.7500


Density functional theory data (GGA-PBE) for crystalline Cs2U2Te2Se at its relaxed geometry.

Its total magnetization is 7.49 μB/cell. As for the density of states at the Fermi level: 10.0 states/eV per cell. As for the space-group type: I4/mmm. For the uncorrected formation energy, the calculation gives -4.36 eV/f.u.

a = 10.2733 Å, b = 10.2733 Å, c = 10.2733 Å
α = 149.12°, β = 149.12°, γ = 44.23°
Fractional coordinates of all 7 atoms:
1 Cs 0.1838 0.1838 0.0000
2 Cs 0.8162 0.8162 0.0000
3 U 0.0000 0.5000 0.5000
4 U 0.5000 0.0000 0.5000
5 Te 0.3971 0.3971 0.0000
6 Te 0.6029 0.6029 0.0000
7 Se 0.0000 0.0000 0.0000


Density functional theory data (GGA-PBE) for crystalline YZr4Sc at its relaxed geometry.

Its total magnetization is 3.31 μB/cell. As for the density of states at the Fermi level: 14.1 states/eV per cell. As for the space-group type: F-43m. The calculation puts the formation energy at 0.24 eV per atom.

a = 6.0188 Å, b = 6.0188 Å, c = 6.0188 Å
α = 60.00°, β = 60.00°, γ = 60.00°
Fractional coordinates of all 6 atoms:
1 Y 0.0000 0.0000 0.0000
2 Zr 0.1251 0.6250 0.6250
3 Zr 0.6250 0.1251 0.6250
4 Zr 0.6250 0.6250 0.1251
5 Zr 0.6250 0.6250 0.6250
6 Sc 0.2500 0.2500 0.2500


Density functional theory data (GGA-PBE) for crystalline TbSn2Rh4 at its relaxed geometry.

Its total magnetization is 0.00 μB/cell. As for the density of states at the Fermi level: 10.9 states/eV per cell. As for the space-group type: Cmce. The calculation puts the formation energy at -0.47 eV per atom.

a = 5.7697 Å, b = 5.7697 Å, c = 9.0435 Å
α = 90.00°, β = 90.00°, γ = 57.90°
Fractional coordinates of all 14 atoms:
1 Tb 0.0000 0.0000 0.0000
2 Tb 0.5000 0.5000 0.5000
3 Sn 0.1812 0.1812 0.5000
4 Sn 0.3188 0.3188 0.0000
5 Sn 0.6812 0.6812 0.0000
6 Sn 0.8188 0.8188 0.5000
7 Rh 0.0005 0.4995 0.7500
8 Rh 0.0009 0.9991 0.7062
9 Rh 0.4995 0.0005 0.2500
10 Rh 0.4991 0.5009 0.2062
11 Rh 0.5009 0.4991 0.7938
12 Rh 0.5005 0.9995 0.7500
13 Rh 0.9991 0.0009 0.2938
14 Rh 0.9995 0.5005 0.2500


Density functional theory data (GGA-PBE) for crystalline Cu2PdAu7 at its relaxed geometry.

Its total magnetization is 0.00 μB/cell. As for the density of states at the Fermi level: 4.1 states/eV per cell. As for the space-group type: Cmmm. The calculation puts the formation energy at 0.27 eV per atom.

a = 7.4398 Å, b = 7.4398 Å, c = 4.3934 Å
α = 90.00°, β = 90.00°, γ = 119.77°
Fractional coordinates of all 10 atoms:
1 Cu 0.1999 0.8001 0.0000
2 Cu 0.8001 0.1999 0.0000
3 Pd 0.5000 0.5000 0.5000
4 Au 0.0000 0.0000 0.0000
5 Au 0.2003 0.4253 0.0000
6 Au 0.2906 0.7094 0.5000
7 Au 0.4253 0.2003 0.0000
8 Au 0.5747 0.7997 0.0000
9 Au 0.7094 0.2906 0.5000
10 Au 0.7997 0.5747 0.0000


Density functional theory data (GGA-PBE) for crystalline CuTe2Pb at its relaxed geometry.

Its total magnetization is 0.00 μB/cell. As for the density of states at the Fermi level: 8.2 states/eV per cell. As for the space-group type: I-42d. For the uncorrected formation energy, the calculation gives -0.43 eV/f.u.

a = 7.9517 Å, b = 7.9517 Å, c = 7.9517 Å
α = 131.57°, β = 131.57°, γ = 70.90°
Fractional coordinates of all 8 atoms:
1 Cu 0.0000 0.0000 0.0000
2 Cu 0.7500 0.2500 0.5000
3 Te 0.0581 0.6250 0.9331
4 Te 0.3750 0.3081 0.4331
5 Te 0.6919 0.1250 0.0669
6 Te 0.8750 0.9419 0.5669
7 Pb 0.2500 0.7500 0.5000
8 Pb 0.5000 0.5000 0.0000


Density functional theory data (GGA-PBE) for crystalline Sr2CaBr6 at its relaxed geometry.

Its total magnetization is 0.00 μB/cell. As for the density of states at the Fermi level: 0.0 states/eV per cell. As for the space-group type: P4_2/mnm. For the uncorrected formation energy, the calculation gives -18.73 eV/f.u.

a = 7.0716 Å, b = 7.0716 Å, c = 13.7827 Å
α = 90.00°, β = 90.00°, γ = 90.00°
Fractional coordinates of all 18 atoms:
1 Sr 0.0000 0.0000 0.1664
2 Sr 0.0000 0.0000 0.8336
3 Sr 0.5000 0.5000 0.3336
4 Sr 0.5000 0.5000 0.6664
5 Ca 0.0000 0.0000 0.5000
6 Ca 0.5000 0.5000 0.0000
7 Br 0.1926 0.1926 0.3402
8 Br 0.1926 0.1926 0.6598
9 Br 0.2047 0.2047 0.0000
10 Br 0.2953 0.7047 0.5000
11 Br 0.3074 0.6926 0.1598
12 Br 0.3074 0.6926 0.8402
13 Br 0.6926 0.3074 0.1598
14 Br 0.6926 0.3074 0.8402
15 Br 0.7047 0.2953 0.5000
16 Br 0.7953 0.7953 0.0000
17 Br 0.8074 0.8074 0.3402
18 Br 0.8074 0.8074 0.6598


Density functional theory data (GGA-PBE) for crystalline Zr2FeRh at its relaxed geometry.

Its total magnetization is 0.00 μB/cell. As for the density of states at the Fermi level: 3.0 states/eV per cell. As for the space-group type: Pmm2. The calculation puts the formation energy at -0.20 eV per atom.

a = 3.1777 Å, b = 4.1596 Å, c = 5.4247 Å
α = 90.00°, β = 90.00°, γ = 90.00°
Fractional coordinates of all 4 atoms:
1 Zr 0.0000 0.0000 0.0000
2 Zr 0.5000 0.5000 0.3670
3 Fe 0.0000 0.0000 0.4754
4 Rh 0.5000 0.5000 0.8512


Density functional theory data (GGA-PBE) for crystalline MgBPt2I at its relaxed geometry.

Its total magnetization is 0.00 μB/cell. As for the density of states at the Fermi level: 0.5 states/eV per cell. As for the space-group type: P4/mmm. For the uncorrected formation energy, the calculation gives -0.05 eV/f.u.

a = 4.0866 Å, b = 4.0866 Å, c = 6.2269 Å
α = 90.00°, β = 90.00°, γ = 90.00°
Fractional coordinates of all 5 atoms:
1 Mg 0.0000 0.0000 0.0000
2 B 0.5000 0.5000 0.5000
3 Pt 0.0000 0.5000 0.5000
4 Pt 0.5000 0.0000 0.5000
5 I 0.5000 0.5000 0.0000


Density functional theory data (GGA-PBE) for crystalline Pm2Pr5Co4 at its relaxed geometry.

Its total magnetization is 0.00 μB/cell. As for the density of states at the Fermi level: 10.0 states/eV per cell. As for the space-group type: C2/m. The calculation puts the formation energy at 0.19 eV per atom.

a = 12.1394 Å, b = 12.1394 Å, c = 7.0011 Å
α = 93.70°, β = 93.70°, γ = 17.35°
Fractional coordinates of all 11 atoms:
1 Pm 0.0809 0.0809 0.1344
2 Pm 0.9191 0.9191 0.8656
3 Pr 0.1343 0.1343 0.6806
4 Pr 0.2277 0.2277 0.2068
5 Pr 0.5000 0.5000 0.5000
6 Pr 0.7723 0.7723 0.7932
7 Pr 0.8657 0.8657 0.3194
8 Co 0.0274 0.0274 0.7935
9 Co 0.3334 0.3334 0.0241
10 Co 0.6666 0.6666 0.9759
11 Co 0.9726 0.9726 0.2065


Density functional theory data (GGA-PBE) for crystalline GaPBr at its relaxed geometry.

Its total magnetization is 0.00 μB/cell. As for the space-group type: P-1. For the uncorrected formation energy, the calculation gives -1.50 eV/f.u.

a = 3.9652 Å, b = 3.9663 Å, c = 11.8999 Å
α = 88.46°, β = 88.59°, γ = 60.02°
Fractional coordinates of all 6 atoms:
1 Ga 0.1739 0.1768 0.3397
2 Ga 0.8261 0.8232 0.6603
3 P 0.4958 0.4938 0.5932
4 P 0.5042 0.5062 0.4068
5 Br 0.1826 0.1860 0.1468
6 Br 0.8174 0.8140 0.8532


Density functional theory data (GGA-PBE) for crystalline LiCu2IrI at its relaxed geometry.

Its total magnetization is 1.03 μB/cell. As for the density of states at the Fermi level: 3.7 states/eV per cell. As for the space-group type: P4/mmm. For the uncorrected formation energy, the calculation gives 6.33 eV/f.u.

a = 4.8374 Å, b = 4.8374 Å, c = 4.7386 Å
α = 90.00°, β = 90.00°, γ = 90.00°
Fractional coordinates of all 5 atoms:
1 Li 0.0000 0.0000 0.0000
2 Cu 0.0000 0.5000 0.5000
3 Cu 0.5000 0.0000 0.5000
4 Ir 0.5000 0.5000 0.0000
5 I 0.0000 0.0000 0.5000


Density functional theory data (GGA-PBE) for crystalline LaTb3Pm4 at its relaxed geometry.

Its total magnetization is 0.00 μB/cell. As for the density of states at the Fermi level: 22.6 states/eV per cell. As for the space-group type: Pmna. The calculation puts the formation energy at 0.01 eV per atom.

a = 10.2507 Å, b = 7.2683 Å, c = 7.2571 Å
α = 90.00°, β = 90.00°, γ = 90.00°
Fractional coordinates of all 16 atoms:
1 La 0.0000 0.0000 0.0000
2 La 0.5000 0.0000 0.5000
3 Tb 0.0000 0.5000 0.5000
4 Tb 0.2500 0.2529 0.2500
5 Tb 0.2500 0.7471 0.7500
6 Tb 0.5000 0.5000 0.0000
7 Tb 0.7500 0.2529 0.2500
8 Tb 0.7500 0.7471 0.7500
9 Pm 0.0000 0.0000 0.5000
10 Pm 0.0000 0.5000 0.0000
11 Pm 0.2500 0.2527 0.7500
12 Pm 0.2500 0.7473 0.2500
13 Pm 0.5000 0.0000 0.0000
14 Pm 0.5000 0.5000 0.5000
15 Pm 0.7500 0.2527 0.7500
16 Pm 0.7500 0.7473 0.2500


Density functional theory data (GGA-PBE) for crystalline ZrBe at its relaxed geometry.

Its total magnetization is 0.00 μB/cell. As for the density of states at the Fermi level: 9.4 states/eV per cell. As for the space-group type: P4/m. The calculation puts the formation energy at 0.23 eV per atom.

a = 9.0894 Å, b = 9.0894 Å, c = 3.3540 Å
α = 90.00°, β = 90.00°, γ = 90.00°
Fractional coordinates of all 16 atoms:
1 Zr 0.0010 0.2133 0.0000
2 Zr 0.2133 0.9990 0.0000
3 Zr 0.2952 0.7021 0.5000
4 Zr 0.2979 0.2952 0.5000
5 Zr 0.7021 0.7048 0.5000
6 Zr 0.7048 0.2979 0.5000
7 Zr 0.7867 0.0010 0.0000
8 Zr 0.9990 0.7867 0.0000
9 Be 0.0047 0.3991 0.5000
10 Be 0.1223 0.5016 0.0000
11 Be 0.3991 0.9953 0.5000
12 Be 0.4984 0.1223 0.0000
13 Be 0.5016 0.8777 0.0000
14 Be 0.6009 0.0047 0.5000
15 Be 0.8777 0.4984 0.0000
16 Be 0.9953 0.6009 0.5000


Density functional theory data (GGA-PBE) for crystalline Ru2AuSF at its relaxed geometry.

Its total magnetization is 5.81 μB/cell. As for the density of states at the Fermi level: 6.8 states/eV per cell. As for the space-group type: P4/mmm. For the uncorrected formation energy, the calculation gives 6.86 eV/f.u.

a = 5.0768 Å, b = 5.0768 Å, c = 4.1166 Å
α = 90.00°, β = 90.00°, γ = 90.00°
Fractional coordinates of all 5 atoms:
1 Ru 0.0000 0.5000 0.0000
2 Ru 0.5000 0.0000 0.0000
3 Au 0.0000 0.0000 0.0000
4 S 0.5000 0.5000 0.5000
5 F 0.0000 0.0000 0.5000


Density functional theory data (GGA-PBE) for crystalline GaP2RhO at its relaxed geometry.

Its total magnetization is 0.00 μB/cell. As for the density of states at the Fermi level: 5.8 states/eV per cell. As for the space-group type: P4/mmm. For the uncorrected formation energy, the calculation gives 2.58 eV/f.u.

a = 4.8215 Å, b = 4.8215 Å, c = 3.4722 Å
α = 90.00°, β = 90.00°, γ = 90.00°
Fractional coordinates of all 5 atoms:
1 Ga 0.0000 0.0000 0.0000
2 P 0.0000 0.5000 0.0000
3 P 0.5000 0.0000 0.0000
4 Rh 0.5000 0.5000 0.5000
5 O 0.0000 0.0000 0.5000


Density functional theory data (GGA-PBE) for crystalline Ce2Tm4Th at its relaxed geometry.

Its total magnetization is 1.79 μB/cell. As for the density of states at the Fermi level: 16.4 states/eV per cell. As for the space-group type: P-42m. The calculation puts the formation energy at 0.35 eV per atom.

a = 8.0334 Å, b = 8.0334 Å, c = 3.3502 Å
α = 90.00°, β = 90.00°, γ = 90.00°
Fractional coordinates of all 7 atoms:
1 Ce 0.0000 0.5000 0.0000
2 Ce 0.5000 0.0000 0.0000
3 Tm 0.1914 0.1914 0.3281
4 Tm 0.1914 0.8086 0.6719
5 Tm 0.8086 0.1914 0.6719
6 Tm 0.8086 0.8086 0.3281
7 Th 0.5000 0.5000 0.5000


Density functional theory data (GGA-PBE) for crystalline PuMnPd3 at its relaxed geometry.

Its total magnetization is 0.60 μB/cell. As for the density of states at the Fermi level: 34.3 states/eV per cell. As for the space-group type: P6_3/mmc. The calculation puts the formation energy at 0.47 eV per atom.

a = 6.5114 Å, b = 6.5114 Å, c = 4.8121 Å
α = 90.00°, β = 90.00°, γ = 120.00°
Fractional coordinates of all 10 atoms:
1 Pu 0.3333 0.6667 0.2500
2 Pu 0.6667 0.3333 0.7500
3 Mn 0.0000 0.0000 0.0000
4 Mn 0.0000 0.0000 0.5000
5 Pd 0.1943 0.3887 0.7500
6 Pd 0.1943 0.8057 0.7500
7 Pd 0.3887 0.1943 0.2500
8 Pd 0.6113 0.8057 0.7500
9 Pd 0.8057 0.1943 0.2500
10 Pd 0.8057 0.6113 0.2500


Density functional theory data (GGA-PBE) for crystalline BaBiPd at its relaxed geometry.

Its total magnetization is 0.00 μB/cell. As for the density of states at the Fermi level: 7.5 states/eV per cell. As for the space-group type: P2_1/c. The calculation puts the formation energy at -0.72 eV per atom.

a = 7.0518 Å, b = 7.2547 Å, c = 8.5086 Å
α = 90.00°, β = 118.48°, γ = 90.00°
Fractional coordinates of all 12 atoms:
1 Ba 0.2176 0.1534 0.3955
2 Ba 0.2176 0.3466 0.8955
3 Ba 0.7824 0.6534 0.1045
4 Ba 0.7824 0.8466 0.6045
5 Bi 0.2425 0.6680 0.5513
6 Bi 0.2425 0.8320 0.0513
7 Bi 0.7575 0.1680 0.9487
8 Bi 0.7575 0.3320 0.4487
9 Pd 0.4213 0.5815 0.3238
10 Pd 0.4213 0.9185 0.8238
11 Pd 0.5787 0.0815 0.1762
12 Pd 0.5787 0.4185 0.6762


Density functional theory data (GGA-PBE) for crystalline FeP2Rh2 at its relaxed geometry.

Its total magnetization is 4.66 μB/cell. As for the density of states at the Fermi level: 9.9 states/eV per cell. As for the space-group type: P4/mbm. The calculation puts the formation energy at -0.29 eV per atom.

a = 5.7987 Å, b = 5.7987 Å, c = 4.0146 Å
α = 90.00°, β = 90.00°, γ = 90.00°
Fractional coordinates of all 10 atoms:
1 Fe 0.0000 0.0000 0.0000
2 Fe 0.5000 0.5000 0.0000
3 P 0.1313 0.3687 0.0000
4 P 0.3687 0.8687 0.0000
5 P 0.6313 0.1313 0.0000
6 P 0.8687 0.6313 0.0000
7 Rh 0.2369 0.7369 0.5000
8 Rh 0.2631 0.2369 0.5000
9 Rh 0.7369 0.7631 0.5000
10 Rh 0.7631 0.2631 0.5000


Density functional theory data (GGA-PBE) for crystalline Pr4Be at its relaxed geometry.

Its total magnetization is 0.00 μB/cell. As for the density of states at the Fermi level: 6.6 states/eV per cell. As for the space-group type: Pm-3m. The calculation puts the formation energy at 0.29 eV per atom.

a = 5.5494 Å, b = 5.5494 Å, c = 5.5494 Å
α = 90.00°, β = 90.00°, γ = 90.00°
Fractional coordinates of all 5 atoms:
1 Pr 0.0000 0.0000 0.0000
2 Pr 0.0000 0.5000 0.5000
3 Pr 0.5000 0.0000 0.5000
4 Pr 0.5000 0.5000 0.0000
5 Be 0.5000 0.5000 0.5000


Density functional theory data (GGA-PBE) for crystalline Lu2SnPb at its relaxed geometry.

Its total magnetization is 0.00 μB/cell. As for the density of states at the Fermi level: 2.4 states/eV per cell. As for the space-group type: Fm-3m. The calculation puts the formation energy at -0.38 eV per atom.

a = 5.3278 Å, b = 5.3278 Å, c = 5.3278 Å
α = 60.00°, β = 60.00°, γ = 60.00°
Fractional coordinates of all 4 atoms:
1 Lu 0.2500 0.2500 0.2500
2 Lu 0.7500 0.7500 0.7500
3 Sn 0.0000 0.0000 0.0000
4 Pb 0.5000 0.5000 0.5000